Entry 1:
Here is a geometry-optimized CrInCO2 structure from Alexandria. Energies are from GGA-PBEsol.

Summary:
DFT total energy: -6.578 eV/atom
Raw formation energy: 45.8 kJ/mol of formula units
Theoretical density: 5.038 g cm⁻³

Lattice parameters (Å, degrees): 3.4666 3.4666 5.7818 90.00 90.00 90.00
Last column: magnetic moment on the atom in μB.
Atoms (fractional coordinates):
1 In 0.0000 0.0000 0.5000  0.00
2 C 0.5000 0.5000 0.5000  0.43
3 Cr 0.0000 0.0000 0.0000  -0.24
4 O 0.5000 0.0000 0.0000  0.03
5 O 0.0000 0.5000 0.0000  0.03

Entry 2:
Here is a geometry-optimized Hf2ZrTaCr structure from Alexandria. Energies are from GGA-PBEsol.

Summary:
DFT total energy: -9.181 eV/atom
Formation enthalpy at 0 K: 1.40 eV/atom
Theoretical density: 8.986 g cm⁻³

Lattice parameters (Å, degrees): 4.9512 5.0420 5.0420 90.00 90.00 90.00
Last column: magnetic moment on the atom in μB.
Atoms (fractional coordinates):
1 Cr 0.5000 0.5000 0.5000  3.81
2 Zr 0.5000 0.0000 0.0000  -0.16
3 Hf 0.0000 0.0000 0.5000  -0.12
4 Hf 0.0000 0.5000 0.0000  -0.12
5 Ta 0.0000 0.0000 0.0000  -0.04

Entry 3:
Here is a geometry-optimized TaMo6 structure from Alexandria. Energies are from GGA-PBEsol.

Summary:
DFT total energy: -11.934 eV/atom
Formation enthalpy at 0 K: -0.05 eV/atom
Energy above the lowest structure with this stoichiometry: 20 meV/atom
Theoretical density: 11.527 g cm⁻³

Lattice parameters (Å, degrees): 2.7366 6.8428 6.8428 118.25 97.66 97.66
Atoms (fractional coordinates):
1 Mo 0.9253 0.5684 0.7124
2 Mo 0.6431 0.8560 0.5684
3 Mo 0.0747 0.4316 0.2876
4 Mo 0.7872 0.7124 0.1440
5 Mo 0.2128 0.2876 0.8560
6 Mo 0.3569 0.1440 0.4316
7 Ta 0.5000 0.0000 0.0000

Entry 4:
Here is a geometry-optimized KHfCuF7 structure from Alexandria. Energies are from GGA-PBEsol.

Summary:
DFT total energy: -5.922 eV/atom
Raw formation energy: -2871.4 kJ/mol of formula units
Theoretical density: 5.262 g cm⁻³

Lattice parameters (Å, degrees): 7.5810 7.5810 9.9441 90.00 90.00 113.84
Last column: magnetic moment on the atom in μB.
Atoms (fractional coordinates):
1 F 0.1046 0.3574 0.5133  0.01
2 F 0.6426 0.8954 0.9867  0.01
3 F 0.1046 0.3574 0.9867  0.01
4 F 0.4208 0.5792 0.7500  0.13
5 F 0.2923 0.7077 0.1114  0.05
6 F 0.9744 0.0256 0.1132  0.00
7 F 0.5000 0.5000 0.5000  0.10
8 F 0.7077 0.2923 0.8886  0.05
9 F 0.2923 0.7077 0.3886  0.05
10 F 0.5792 0.4208 0.2500  0.13
11 F 0.9949 0.7264 0.2500  0.00
12 F 0.2196 0.7804 0.6150  0.07
13 F 0.3574 0.1046 0.4867  0.01
14 F 0.9744 0.0256 0.3868  0.00
15 F 0.8954 0.6426 0.0133  0.01
16 F 0.7077 0.2923 0.6114  0.05
17 F 0.7264 0.9949 0.7500  0.00
18 F 0.6426 0.8954 0.5133  0.01
19 F 0.7804 0.2196 0.1150  0.07
20 F 0.3574 0.1046 0.0133  0.01
21 F 0.5000 0.5000 0.0000  0.10
22 F 0.2736 0.0051 0.2500  0.00
23 F 0.0256 0.9744 0.6132  0.00
24 F 0.8954 0.6426 0.4867  0.01
25 F 0.7804 0.2196 0.3850  0.07
26 F 0.2196 0.7804 0.8850  0.07
27 F 0.0256 0.9744 0.8868  0.00
28 F 0.0051 0.2736 0.7500  0.00
29 Hf 0.8672 0.1328 0.5688  0.00
30 Hf 0.1328 0.8672 0.0688  0.00
31 Hf 0.8672 0.1328 0.9312  0.00
32 Hf 0.1328 0.8672 0.4312  0.00
33 K 0.3615 0.1665 0.7500  0.00
34 K 0.8335 0.6385 0.7500  0.00
35 K 0.6385 0.8335 0.2500  0.00
36 K 0.1665 0.3615 0.2500  0.00
37 Cu 0.3634 0.6366 0.5706  0.74
38 Cu 0.6366 0.3634 0.4294  0.74
39 Cu 0.3634 0.6366 0.9294  0.74
40 Cu 0.6366 0.3634 0.0706  0.74

Entry 5:
Here is a geometry-optimized CaFeTe2 structure from Alexandria. Energies are from GGA-PBEsol.

Summary:
DFT total energy: -4.769 eV/atom
Raw formation energy: -89.4 kJ/mol of formula units
Theoretical density: 6.317 g cm⁻³

Lattice parameters (Å, degrees): 3.6467 5.0308 5.0308 90.00 90.00 90.00
Last column: magnetic moment on the atom in μB.
Atoms (fractional coordinates):
1 Te 0.0000 0.0000 0.5000  -0.04
2 Te 0.0000 0.5000 0.0000  -0.04
3 Ca 0.5000 0.5000 0.5000  -0.01
4 Fe 0.5000 0.0000 0.0000  2.94

Entry 6:
Here is a geometry-optimized Co3Mo structure from Alexandria. Energies are from GGA-PBEsol.

Summary:
DFT total energy: -8.791 eV/atom
Formation enthalpy at 0 K: -0.05 eV/atom
Theoretical density: 10.218 g cm⁻³

Lattice parameters (Å, degrees): 3.5376 3.5376 7.5118 103.62 103.62 90.00
Atoms (fractional coordinates):
1 Co 0.0000 0.5000 0.0000
2 Co 0.7500 0.2500 0.5000
3 Co 0.5000 0.0000 0.0000
4 Co 0.1212 0.1212 0.2425
5 Co 0.2500 0.7500 0.5000
6 Co 0.8788 0.8788 0.7575
7 Mo 0.3728 0.3728 0.7455
8 Mo 0.6272 0.6272 0.2545

Entry 7:
Here is a geometry-optimized CaMgAg structure from Alexandria. Energies are from GGA-PBEsol.

Summary:
DFT total energy: -2.586 eV/atom
Formation enthalpy at 0 K: -0.20 eV/atom
Theoretical density: 4.029 g cm⁻³

Lattice parameters (Å, degrees): 3.5496 3.5496 6.1686 106.72 106.72 90.00
Atoms (fractional coordinates):
1 Mg 0.3638 0.3638 0.7275
2 Ca 0.6544 0.6544 0.3088
3 Ag 0.9818 0.9818 0.9637

Entry 8:
Here is a geometry-optimized Ba3TaS structure from Alexandria. Energies are from GGA-PBEsol.

Summary:
DFT total energy: -4.136 eV/atom
Raw formation energy: 260.8 kJ/mol of formula units
Theoretical density: 5.411 g cm⁻³

Lattice parameters (Å, degrees): 5.7668 5.7668 5.7668 90.00 90.00 90.00
Atoms (fractional coordinates):
1 Ba 0.0000 0.5000 0.0000
2 Ba 0.5000 0.0000 0.0000
3 Ba 0.0000 0.0000 0.5000
4 S 0.5000 0.5000 0.5000
5 Ta 0.0000 0.0000 0.0000